# TaSb3Pt, optimized geometry, DFT GGA-PBE
data_TaSb3Pt
_chemical_formula_sum 'Ta1 Sb3 Pt1'
_symmetry_space_group_name_H-M 'P m -3 m'
_symmetry_Int_Tables_number 221
_symmetry_space_group_name_Hall '-P 4 2 3'
_cell_length_a 5.167
_cell_length_b 5.167
_cell_length_c 5.167
_cell_angle_alpha 90.00
_cell_angle_beta 90.00
_cell_angle_gamma 90.00
loop_
_atom_site_label
_atom_site_fract_x
_atom_site_fract_y
_atom_site_fract_z
Ta1 0.000 0.000 0.000
Sb1 0.000 0.500 0.500
Pt1 0.500 0.500 0.500
# Total magnetization in μB per formula unit: 1.61
# E_form (uncorrected) in eV/atom: 1.014

# TaSb2Pt, optimized geometry, DFT GGA-PBE
data_TaSb2Pt
_chemical_formula_sum 'Ta2 Sb4 Pt2'
_symmetry_space_group_name_H-M 'C m m 2'
_symmetry_Int_Tables_number 35
_cell_length_a 4.380
_cell_length_b 4.388
_cell_length_c 9.543
_cell_angle_alpha 90.00
_cell_angle_beta 90.00
_cell_angle_gamma 90.00
loop_
_symmetry_equiv_pos_as_xyz
'x,y,z'
'-x,-y,z'
'-x,y,z'
'x,-y,z'
'x+1/2,y+1/2,z'
'-x+1/2,-y+1/2,z'
'-x+1/2,y+1/2,z'
'x+1/2,-y+1/2,z'
loop_
_atom_site_label
_atom_site_fract_x
_atom_site_fract_y
_atom_site_fract_z
Ta1 0.000 0.000 0.000
Sb1 0.000 0.000 0.610
Sb2 0.000 0.500 0.224
Pt1 0.000 0.500 0.820
# Total magnetization in μB per formula unit: 0.00
# E_form (uncorrected) in eV/atom: -0.160

# TaSb4Pt, optimized geometry, DFT GGA-PBE
data_TaSb4Pt
_chemical_formula_sum 'Ta4 Sb16 Pt4'
_symmetry_space_group_name_H-M 'F -4 3 m'
_symmetry_Int_Tables_number 216
_symmetry_space_group_name_Hall 'F -4 2 3'
_cell_length_a 8.376
_cell_length_b 8.376
_cell_length_c 8.376
_cell_angle_alpha 90.00
_cell_angle_beta 90.00
_cell_angle_gamma 90.00
loop_
_atom_site_label
_atom_site_fract_x
_atom_site_fract_y
_atom_site_fract_z
Ta1 0.000 0.000 0.000
Sb1 0.125 0.125 0.375
Pt1 0.250 0.250 0.750
# Total magnetization in μB per formula unit: 0.78
# E_form (uncorrected) in eV/atom: 0.990

# Ta2SbPt, optimized geometry, DFT GGA-PBE
data_Ta2SbPt
_chemical_formula_sum 'Ta4 Sb2 Pt2'
_symmetry_space_group_name_H-M 'I -4 m 2'
_symmetry_Int_Tables_number 119
_symmetry_space_group_name_Hall 'I -4 -2'
_cell_length_a 4.074
_cell_length_b 4.074
_cell_length_c 8.783
_cell_angle_alpha 90.00
_cell_angle_beta 90.00
_cell_angle_gamma 90.00
loop_
_atom_site_label
_atom_site_fract_x
_atom_site_fract_y
_atom_site_fract_z
Ta1 0.000 0.000 0.000
Ta2 0.000 0.500 0.250
Sb1 0.000 0.000 0.500
Pt1 0.000 0.500 0.750
# Total magnetization in μB per formula unit: 0.00
# E_form (uncorrected) in eV/atom: -0.083

# Ta2SbPt, optimized geometry, DFT GGA-PBE
data_Ta2SbPt
_chemical_formula_sum 'Ta2 Sb1 Pt1'
_symmetry_space_group_name_H-M 'P m m m'
_symmetry_Int_Tables_number 47
_cell_length_a 2.950
_cell_length_b 4.348
_cell_length_c 5.647
_cell_angle_alpha 90.00
_cell_angle_beta 90.00
_cell_angle_gamma 90.00
loop_
_symmetry_equiv_pos_as_xyz
'x,y,z'
'-x,-y,-z'
'-x,-y,z'
'x,y,-z'
'x,-y,-z'
'-x,y,z'
'-x,y,-z'
'x,-y,z'
loop_
_atom_site_label
_atom_site_fract_x
_atom_site_fract_y
_atom_site_fract_z
Ta1 0.000 0.000 0.243
Sb1 0.500 0.500 0.500
Pt1 0.500 0.500 0.000
# Total magnetization in μB per formula unit: 0.00
# E_form (uncorrected) in eV/atom: -0.114

# TaSb2Pt, optimized geometry, DFT GGA-PBE
data_TaSb2Pt
_chemical_formula_sum 'Ta2 Sb4 Pt2'
_symmetry_space_group_name_H-M 'I m m 2'
_symmetry_Int_Tables_number 44
_cell_length_a 3.603
_cell_length_b 4.112
_cell_length_c 11.521
_cell_angle_alpha 90.00
_cell_angle_beta 90.00
_cell_angle_gamma 90.00
loop_
_symmetry_equiv_pos_as_xyz
'x,y,z'
'-x,-y,z'
'-x,y,z'
'x,-y,z'
'x+1/2,y+1/2,z+1/2'
'-x+1/2,-y+1/2,z+1/2'
'-x+1/2,y+1/2,z+1/2'
'x+1/2,-y+1/2,z+1/2'
loop_
_atom_site_label
_atom_site_fract_x
_atom_site_fract_y
_atom_site_fract_z
Ta1 0.000 0.000 0.000
Sb1 0.000 0.000 0.407
Sb2 0.000 0.500 0.172
Pt1 0.000 0.500 0.702
# Total magnetization in μB per formula unit: 0.00
# E_form (uncorrected) in eV/atom: 0.054

# TaSbPt3, optimized geometry, DFT GGA-PBE
data_TaSbPt3
_chemical_formula_sum 'Ta1 Sb1 Pt3'
_symmetry_space_group_name_H-M 'P m -3 m'
_symmetry_Int_Tables_number 221
_symmetry_space_group_name_Hall '-P 4 2 3'
_cell_length_a 4.907
_cell_length_b 4.907
_cell_length_c 4.907
_cell_angle_alpha 90.00
_cell_angle_beta 90.00
_cell_angle_gamma 90.00
loop_
_atom_site_label
_atom_site_fract_x
_atom_site_fract_y
_atom_site_fract_z
Ta1 0.000 0.000 0.000
Sb1 0.500 0.500 0.500
Pt1 0.000 0.000 0.500
# Total magnetization in μB per formula unit: 0.00
# E_form (uncorrected) in eV/atom: 0.723

# TaSbPt2, optimized geometry, DFT GGA-PBE
data_TaSbPt2
_chemical_formula_sum 'Ta4 Sb4 Pt8'
_symmetry_space_group_name_H-M 'I -4 2 d'
_symmetry_Int_Tables_number 122
_symmetry_space_group_name_Hall 'I -4 2bw'
_cell_length_a 5.933
_cell_length_b 5.933
_cell_length_c 11.763
_cell_angle_alpha 90.00
_cell_angle_beta 90.00
_cell_angle_gamma 90.00
loop_
_atom_site_label
_atom_site_fract_x
_atom_site_fract_y
_atom_site_fract_z
Ta1 0.000 0.000 0.000
Sb1 0.000 0.000 0.500
Pt1 0.237 0.250 0.125
# Total magnetization in μB per formula unit: 0.00
# E_form (uncorrected) in eV/atom: 0.110

# TaSbPt2, optimized geometry, DFT GGA-PBE
data_TaSbPt2
_chemical_formula_sum 'Ta1 Sb1 Pt2'
_symmetry_space_group_name_H-M 'P 1 2/m 1'
_symmetry_Int_Tables_number 10
_cell_length_a 3.556
_cell_length_b 3.627
_cell_length_c 5.644
_cell_angle_alpha 90.00
_cell_angle_beta 90.09
_cell_angle_gamma 90.00
loop_
_symmetry_equiv_pos_as_xyz
'x,y,z'
'-x,-y,-z'
'-x,y,-z'
'x,-y,z'
loop_
_atom_site_label
_atom_site_fract_x
_atom_site_fract_y
_atom_site_fract_z
Ta1 0.000 0.000 0.000
Sb1 0.000 0.000 0.500
Pt1 0.499 0.500 0.233
# Total magnetization in μB per formula unit: 0.00
# E_form (uncorrected) in eV/atom: -0.350

# TaSbPt2, optimized geometry, DFT GGA-PBE
data_TaSbPt2
_chemical_formula_sum 'Ta1 Sb1 Pt2'
_symmetry_space_group_name_H-M 'P m m 2'
_symmetry_Int_Tables_number 25
_cell_length_a 3.042
_cell_length_b 3.806
_cell_length_c 6.245
_cell_angle_alpha 90.00
_cell_angle_beta 90.00
_cell_angle_gamma 90.00
loop_
_symmetry_equiv_pos_as_xyz
'x,y,z'
'-x,-y,z'
'-x,y,z'
'x,-y,z'
loop_
_atom_site_label
_atom_site_fract_x
_atom_site_fract_y
_atom_site_fract_z
Ta1 0.000 0.000 0.000
Sb1 0.500 0.500 0.697
Pt1 0.000 0.000 0.451
Pt2 0.500 0.500 0.204
# Total magnetization in μB per formula unit: 0.00
# E_form (uncorrected) in eV/atom: -0.219

# TaSbPt2, optimized geometry, DFT GGA-PBE
data_TaSbPt2
_chemical_formula_sum 'Ta2 Sb2 Pt4'
_symmetry_space_group_name_H-M 'I 4/m m m'
_symmetry_Int_Tables_number 139
_symmetry_space_group_name_Hall '-I 4 2'
_cell_length_a 4.089
_cell_length_b 4.089
_cell_length_c 8.455
_cell_angle_alpha 90.00
_cell_angle_beta 90.00
_cell_angle_gamma 90.00
loop_
_atom_site_label
_atom_site_fract_x
_atom_site_fract_y
_atom_site_fract_z
Ta1 0.000 0.000 0.000
Sb1 0.000 0.000 0.500
Pt1 0.000 0.500 0.250
# Total magnetization in μB per formula unit: 0.00
# E_form (uncorrected) in eV/atom: -0.208

# TaSb2TePt, optimized geometry, DFT GGA-PBE
data_TaSb2TePt
_chemical_formula_sum 'Ta1 Sb2 Te1 Pt1'
_symmetry_space_group_name_H-M 'P 4/m m m'
_symmetry_Int_Tables_number 123
_symmetry_space_group_name_Hall '-P 4 2'
_cell_length_a 5.118
_cell_length_b 5.118
_cell_length_c 5.270
_cell_angle_alpha 90.00
_cell_angle_beta 90.00
_cell_angle_gamma 90.00
loop_
_atom_site_label
_atom_site_fract_x
_atom_site_fract_y
_atom_site_fract_z
Ta1 0.000 0.000 0.000
Sb1 0.000 0.500 0.500
Te1 0.500 0.500 0.000
Pt1 0.500 0.500 0.500
# Total magnetization in μB per formula unit: 0.00
# E_form (uncorrected) in eV/atom: 1.028

The lowest E_form (uncorrected) belongs to which entry? number 9

total magnetization of number 9 (TaSbPt2)? 0.00 μB per formula unit